Entry 1:
A relaxed structure of Al2Co3W, computed with PBE-GGA.

abc: 2.772 2.772 9.433
angles: 90.00 90.00 90.00
Space group P4/mmm (No. 123)
Unique sites:
Al1 0.000 0.000 0.156 (multiplicity 2)
Co1 0.500 0.500 0.000 (multiplicity 1)
Co2 0.500 0.500 0.314 (multiplicity 2)
W1 0.000 0.000 0.500 (multiplicity 1)

Properties
total moment: 0.000 μB per atom
energy of formation from the pure elements: -0.40 eV/atom
electronic total energy: -0.2704 Ha/atom

Entry 2:
A relaxed structure of Al2CoW, computed with PBE-GGA.

abc: 3.704 3.704 8.123
angles: 90.00 90.00 90.00
Space group I-4m2 (No. 119)
Unique sites:
Al1 0.000 0.000 0.000 (multiplicity 2)
Al2 0.000 0.500 0.250 (multiplicity 2)
Co1 0.000 0.500 0.750 (multiplicity 2)
W1 0.000 0.000 0.500 (multiplicity 2)

Properties
total moment: 0.270 μB per atom
energy of formation from the pure elements: -0.05 eV/atom
electronic total energy: -0.2549 Ha/atom
excess energy over the best structure of this formula in the dataset: 205 meV/atom

Entry 3:
A relaxed structure of Al2CoW, computed with PBE-GGA.

abc: 2.984 2.984 6.194
angles: 90.00 90.00 90.00
Space group P4mm (No. 99)
Unique sites:
Al1 0.000 0.000 0.000 (multiplicity 1)
Al2 0.500 0.500 0.278 (multiplicity 1)
Co1 0.000 0.000 0.471 (multiplicity 1)
W1 0.500 0.500 0.730 (multiplicity 1)

Properties
total moment: 0.014 μB per atom
energy of formation from the pure elements: -0.13 eV/atom
electronic total energy: -0.2579 Ha/atom
excess energy over the best structure of this formula in the dataset: 124 meV/atom

Entry 4:
A relaxed structure of AlCo2W2, computed with PBE-GGA.

abc: 7.002 7.002 2.826
angles: 90.00 90.00 90.00
Space group P4/mbm (No. 127)
Unique sites:
Al1 0.000 0.000 0.000 (multiplicity 2)
Co1 0.125 0.375 0.000 (multiplicity 4)
W1 0.170 0.670 0.500 (multiplicity 4)

Properties
total moment: 0.000 μB per atom
energy of formation from the pure elements: 0.09 eV/atom
electronic total energy: -0.3190 Ha/atom

Entry 5:
A relaxed structure of Al2CoW, computed with PBE-GGA.

abc: 2.7994 2.7994 25.1600
angles: 90.00 90.00 120.00
Space group R-3m (No. 166, hexagonal axes)
Unique sites:
Al1 0.0000 0.0000 0.2423 (multiplicity 6)
Co1 0.0000 0.0000 0.5000 (multiplicity 3)
W1 0.0000 0.0000 0.0000 (multiplicity 3)

Properties
total moment: 0.230 μB per atom
energy of formation from the pure elements: -0.08 eV/atom
electronic total energy: -0.2560 Ha/atom
excess energy over the best structure of this formula in the dataset: 176 meV/atom

Entry 6:
A relaxed structure of Al2CoW, computed with PBE-GGA.

abc: 6.043 6.043 6.043
angles: 90.00 90.00 90.00
Space group Fm-3m (No. 225)
Unique sites:
Al1 0.250 0.250 0.250 (multiplicity 8)
Co1 0.000 0.000 0.000 (multiplicity 4)
W1 0.000 0.000 0.500 (multiplicity 4)

Properties
total moment: 0.000 μB per atom
energy of formation from the pure elements: 0.07 eV/atom
electronic total energy: -0.2506 Ha/atom
excess energy over the best structure of this formula in the dataset: 323 meV/atom

Entry 7:
A relaxed structure of Al2CoW, computed with PBE-GGA.

abc: 9.844 2.844 4.343
angles: 90.00 112.92 90.00
Space group Cm (No. 8)
Unique sites:
Al1 0.000 0.000 0.000 (multiplicity 2)
Al2 0.218 0.000 0.698 (multiplicity 2)
Co1 0.498 0.000 0.503 (multiplicity 2)
W1 0.264 0.500 0.236 (multiplicity 2)

Properties
total moment: 0.121 μB per atom
energy of formation from the pure elements: -0.11 eV/atom
electronic total energy: -0.2573 Ha/atom
excess energy over the best structure of this formula in the dataset: 141 meV/atom

Entry 8:
A relaxed structure of Al2CoW, computed with PBE-GGA.

abc: 5.414 7.663 2.743
angles: 90.00 90.00 90.00
Space group Cmmm (No. 65)
Unique sites:
Al1 0.250 0.250 0.000 (multiplicity 4)
Co1 0.000 0.000 0.500 (multiplicity 2)
W1 0.000 0.500 0.500 (multiplicity 2)

Properties
total moment: 0.316 μB per atom
energy of formation from the pure elements: -0.06 eV/atom
electronic total energy: -0.2552 Ha/atom
excess energy over the best structure of this formula in the dataset: 199 meV/atom

- Which value of total moment does entry 1 give?
  0.000 μB per atom

- Which value of total moment does entry 5 give?
  0.230 μB per atom

- energy of formation from the pure elements of number 8 (Al2CoW)?
  -0.06 eV/atom

- What is the total moment in the seventh record?
  0.121 μB per atom